Li2RuBr | PBE | relaxed

Geometry as POSCAR:
```
Li2RuBr
1.0
3.2815 0.0000 0.0000
0.0000 3.2815 0.0000
0.0000 0.0000 6.1297
Li Ru Br
2 1 1
Cartesian
0.0000 0.0000 0.0000 Li
1.6408 1.6408 1.5617 Li
0.0000 0.0000 2.8960 Ru
1.6408 1.6408 4.9635 Br
```

Calculated values
* offset from the most stable computed form: 0.156 eV/atom
* mass density: 4.90 g/cm3
* uncorrected formation energy: 127 meV per atom
* DOS at the Fermi energy: 0.403 states/eV/atom
* space group: No. 99

---

DyGa2Ni | PBE | relaxed

Geometry as POSCAR:
```
DyGa2Ni
1.0
7.7909 0.0000 0.0000
0.0000 6.6806 0.0000
0.0000 0.0000 5.3666
Dy Ga Ni
4 8 4
Cartesian
0.3028 1.6702 0.6417 Dy
3.5927 5.0105 3.3250 Dy
4.1982 1.6702 2.0416 Dy
7.4881 5.0105 4.7249 Dy
1.4240 0.3638 3.3091 Ga
1.4240 2.9765 3.3091 Ga
2.4715 3.7041 0.6258 Ga
2.4715 6.3168 0.6258 Ga
5.3194 0.3638 4.7408 Ga
5.3194 2.9765 4.7408 Ga
6.3669 3.7041 2.0575 Ga
6.3669 6.3168 2.0575 Ga
0.7524 5.0105 1.9985 Ni
3.1431 1.6702 4.6818 Ni
4.6478 5.0105 0.6848 Ni
7.0385 1.6702 3.3681 Ni
```

Calculated values
* mass density: 8.58 g/cm3
* DOS at the Fermi energy: 0.700 states/eV/atom
* formation energy from the elements: -0.600 eV/atom
* space group: No. 62

---

CaHfTaNb2 | PBE | relaxed

Geometry as POSCAR:
```
CaHfTaNb2
1.0
4.6861 0.0000 0.0000
0.0000 4.6861 0.0000
0.0000 0.0000 4.9468
Ca Hf Ta Nb
1 1 1 2
Cartesian
0.0000 0.0000 0.0000 Ca
0.0000 0.0000 2.4734 Hf
2.3431 2.3431 2.4734 Ta
0.0000 2.3431 0.0000 Nb
2.3431 0.0000 0.0000 Nb
```

Calculated values
* mass density: 8.95 g/cm3
* DOS at the Fermi energy: 2.282 states/eV/atom
* formation energy from the elements: 2.166 eV/atom
* space group: No. 123

---

ZrInSb2 | PBE | relaxed

Geometry as POSCAR:
```
ZrInSb2
1.0
4.3872 0.0000 0.0000
0.0000 2.0089 5.7416
0.0000 -2.0089 5.7416
Zr In Sb
1 1 2
Cartesian
0.0000 0.0000 0.0000 Zr
2.1936 0.0000 2.1167 In
0.0000 0.0000 8.1891 Sb
2.1936 0.0000 4.9771 Sb
```

Calculated values
* mass density: 7.38 g/cm3
* uncorrected formation energy: -327 meV per atom
* DOS at the Fermi energy: 0.345 states/eV/atom
* space group: No. 38

---

What is the mass density in the first record? 4.90 g/cm3

---

What is the DOS at the Fermi energy in the first record? 0.403 states/eV/atom

---

Among the records above, which one has the highest mass density? CaHfTaNb2

---

Among the records above, which one has the highest mass density? CaHfTaNb2